This record from Alexandria via LeMat-Bulk describes a geometry-optimized PmH7Pt4 structure. The functional is PBE-GGA.

Unit cell a=13.776 b=7.024 c=5.331 alpha=90.00 beta=90.00 gamma=90.00
Space group Cmcm (No. 63)
Asymmetric unit:
Pm: 0.000 0.242 0.250
H: 0.000 0.377 0.750
H: 0.157 0.250 0.004
H: 0.250 0.007 0.250
Pt: 0.127 0.398 0.750
Pt: 0.158 0.000 0.000

## Properties
The electronic total energy is -220.629 eV for the cell shown. The volume comes out at 10.75 A^3/atom.

This record from Alexandria via LeMat-Bulk describes a geometry-optimized PmHPt3 structure. The functional is PBE-GGA.

Unit cell a=6.0146 b=6.0146 c=7.3795 alpha=90.00 beta=90.00 gamma=120.00
Space group R3m (No. 160, hexagonal axes)
Asymmetric unit:
Pm: 0.0000 0.0000 0.0000
H: 0.0000 0.0000 0.3385
Pt: 0.1745 0.3490 0.3309

## Properties
The energy relative to the lowest polymorph listed for this composition comes out at 0.000 eV per atom. The electronic total energy is -89.619 eV for the cell shown. The volume comes out at 15.41 A^3/atom.

This record from Alexandria via LeMat-Bulk describes a geometry-optimized PmHPt structure. The functional is PBE-GGA.

Unit cell a=3.828 b=10.898 c=4.796 alpha=90.00 beta=90.00 gamma=90.00
Space group Pbcm (No. 57)
Asymmetric unit:
Pm: 0.224 0.114 0.250
H: 0.215 0.149 0.750
Pt: 0.278 0.661 0.750

## Properties
The energy relative to the lowest polymorph listed for this composition comes out at 0.003 eV per atom. The electronic total energy is -66.584 eV for the cell shown. The volume comes out at 16.67 A^3/atom.

This record from Alexandria via LeMat-Bulk describes a geometry-optimized Pm2H2Pt structure. The functional is PBE-GGA.

Unit cell a=9.291 b=7.251 c=6.532 alpha=90.00 beta=128.72 gamma=90.00
Space group C2/c (No. 15)
Asymmetric unit:
Pm: 0.178 0.178 0.195
H: 0.123 0.106 0.494
Pt: 0.000 0.458 0.750

## Properties
The electronic total energy is -103.954 eV for the cell shown. The volume comes out at 17.17 A^3/atom.

This record from Alexandria via LeMat-Bulk describes a geometry-optimized PmH4Pt structure. The functional is PBE-GGA.

Unit cell a=6.671 b=6.689 c=5.867 alpha=90.00 beta=109.94 gamma=90.00
Space group C2/c (No. 15)
Asymmetric unit:
Pm: 0.000 0.164 0.250
H: 0.160 0.178 0.706
H: 0.208 0.486 0.359
Pt: 0.000 0.352 0.750

## Properties
The energy relative to the lowest polymorph listed for this composition comes out at 0.145 eV per atom. The electronic total energy is -105.554 eV for the cell shown. The volume comes out at 10.26 A^3/atom.

This record from Alexandria via LeMat-Bulk describes a geometry-optimized PmHPt3 structure. The functional is PBE-GGA.

Unit cell a=4.231 b=4.231 c=4.231 alpha=90.00 beta=90.00 gamma=90.00
Space group Pm-3m (No. 221)
Asymmetric unit:
Pm: 0.000 0.000 0.000
H: 0.500 0.500 0.500
Pt: 0.000 0.500 0.500

## Properties
The energy relative to the lowest polymorph listed for this composition comes out at 0.074 eV per atom. The electronic total energy is -29.501 eV for the cell shown. The volume comes out at 15.15 A^3/atom.